An optimized crystal structure of MgMoIrO6, computed with PBE+U.

Structure (CIF):
```
data_MgMoIrO6
_chemical_formula_sum 'Mg2 Mo2 Ir2 O12'
_symmetry_space_group_name_H-M 'P 1'
_symmetry_Int_Tables_number 1
_symmetry_space_group_name_Hall 'P 1'
_cell_length_a 5.0505
_cell_length_b 5.0505
_cell_length_c 8.8190
_cell_angle_alpha 90.00
_cell_angle_beta 90.00
_cell_angle_gamma 120.00
loop_
_atom_site_label
_atom_site_type_symbol
_atom_site_fract_x
_atom_site_fract_y
_atom_site_fract_z
O1 O 0.0121 0.6819 0.8757
O2 O 0.3302 0.0121 0.1243
O3 O 0.6819 0.6698 0.1243
O4 O 0.9879 0.6698 0.3757
O5 O 0.3181 0.3302 0.8757
O6 O 0.3181 0.9879 0.6243
O7 O 0.6698 0.6819 0.6243
O8 O 0.3302 0.3181 0.3757
O9 O 0.9879 0.3181 0.1243
O10 O 0.0121 0.3302 0.6243
O11 O 0.6819 0.0121 0.3757
O12 O 0.6698 0.9879 0.8757
Mo1 Mo 0.0000 0.0000 0.5000
Mo2 Mo 0.0000 0.0000 0.0000
Ir1 Ir 0.3333 0.6667 0.7500
Ir2 Ir 0.6667 0.3333 0.2500
Mg1 Mg 0.6667 0.3333 0.7500
Mg2 Mg 0.3333 0.6667 0.2500
```

Values from the calculation:
* final energy: -6.725 eV/atom
* mass density: 6963 kg/m3